No. 1
AlFeAu | PBE | optimized geometry

a = 4.246 Å, b = 4.246 Å, c = 4.246 Å
α = 60.00°, β = 60.00°, γ = 60.00°
Fractional coordinates of all 3 atoms:
Al1 0.500 0.500 0.500
Au1 0.750 0.750 0.750
Fe1 0.000 0.000 0.000

Output
* calculated total energy: -5.08 eV per atom
* volume: 54.1 Å³/cell

=====

No. 2
Th2Bi2N | PBE | optimized geometry

a = 6.150 Å, b = 8.163 Å, c = 7.879 Å
α = 53.39°, β = 69.93°, γ = 65.03°
Fractional coordinates of all 10 atoms:
N1 0.251 0.499 0.499
Th1 0.921 0.410 0.779
Bi1 0.379 0.297 0.002
Bi2 0.822 0.002 0.297
Bi3 0.621 0.703 0.998
Th2 0.610 0.221 0.590
Bi4 0.178 0.998 0.703
Th3 0.390 0.779 0.410
Th4 0.079 0.590 0.221
N2 0.749 0.501 0.501

Output
* formation energy from raw total energies: -0.89 eV per atom
* relative energy among the computed polymorphs: 0 kJ/mol of formula units
* volume: 285.5 Å³/cell